Below is ErPuTl2 after structural relaxation, with properties calculated at the PBE level.

abc: 3.4009 3.4009 9.2758
angles: 90.00 90.00 90.00
Last column: nearest neighbours and their distance in Å.
Atoms (fractional coordinates):
Tl1 0.0000 0.0000 0.7560  4 Er 3.30, 4 Pu 3.38, 4 Tl 3.40
Tl2 0.0000 0.0000 0.2440  4 Er 3.30, 4 Pu 3.38, 4 Tl 3.40
Er1 0.5000 0.5000 0.0000  8 Tl 3.30, 4 Er 3.40
Pu1 0.5000 0.5000 0.5000  8 Tl 3.38, 4 Pu 3.40

* E above lowest polymorph: 0 kJ/mol of formula units
* VASP energy: -24.27 eV/f.u.
* crystal system: tetragonal
* DOS(E_F): 2.168 states/eV per atom

=====

Below is ErPuTl6 after structural relaxation, with properties calculated at the PBE level.

abc: 4.7625 4.7625 9.5543
angles: 90.00 90.00 90.00
Last column: nearest neighbours and their distance in Å.
Atoms (fractional coordinates):
Er1 0.0000 0.0000 0.0000  12 Tl 3.36-3.37
Pu1 0.0000 0.0000 0.5000  12 Tl 3.37-3.38
Tl1 0.5000 0.5000 0.0000  8 Tl 3.36, 4 Er 3.37
Tl2 0.5000 0.5000 0.5000  4 Pu 3.37, 8 Tl 3.38
Tl3 0.5000 0.0000 0.2483  8 Tl 3.36-3.38, 2 Er 3.36, 2 Pu 3.38
Tl4 0.5000 0.0000 0.7517  8 Tl 3.36-3.38, 2 Er 3.36, 2 Pu 3.38
Tl5 0.0000 0.5000 0.2483  8 Tl 3.36-3.38, 2 Er 3.36, 2 Pu 3.38
Tl6 0.0000 0.5000 0.7517  8 Tl 3.36-3.38, 2 Er 3.36, 2 Pu 3.38

* VASP energy: -34.01 eV/f.u.
* crystal system: tetragonal
* DOS(E_F): 2.004 states/eV per atom

=====

Below is ErPuTl2 after structural relaxation, with properties calculated at the PBE level.

abc: 4.4395 4.9530 4.9530
angles: 90.00 90.00 90.00
Last column: nearest neighbours and their distance in Å.
Atoms (fractional coordinates):
Tl1 0.0000 0.0000 0.5000  4 Er 3.33, 4 Pu 3.33, 4 Tl 3.50
Tl2 0.0000 0.5000 0.0000  4 Er 3.33, 4 Pu 3.33, 4 Tl 3.50
Er1 0.5000 0.0000 0.0000  8 Tl 3.33, 4 Pu 3.50
Pu1 0.5000 0.5000 0.5000  8 Tl 3.33, 4 Er 3.50

* E above lowest polymorph: 13 kJ/mol of formula units
* VASP energy: -24.13 eV/f.u.
* crystal system: tetragonal
* DOS(E_F): 2.864 states/eV per atom

=====

Below is ErTmPuTl after structural relaxation, with properties calculated at the PBE level.

abc: 5.3744 5.3744 5.3744
angles: 60.00 60.00 60.00
Last column: nearest neighbours and their distance in Å.
Atoms (fractional coordinates):
Er1 0.2500 0.2500 0.2500  4 Tl 3.29, 4 Pu 3.29
Tl1 0.0000 0.0000 0.0000  4 Er 3.29, 4 Tm 3.29
Tm1 0.7500 0.7500 0.7500  4 Tl 3.29, 4 Pu 3.29
Pu1 0.5000 0.5000 0.5000  4 Tm 3.29, 4 Er 3.29

* VASP energy: -25.48 eV/f.u.
* crystal system: cubic
* DOS(E_F): 3.438 states/eV per atom

=====

Below is Er4Tm10Pu after structural relaxation, with properties calculated at the PBE level.

abc: 10.2505 8.5077 8.5077
angles: 68.72 52.96 52.96
Last column: nearest neighbours and their distance in Å.
Atoms (fractional coordinates):
Er1 0.3296 0.7400 0.6007  2 Tm 3.11, 1 Pu 3.24
Er2 0.9303 0.3993 0.7400  2 Tm 3.11, 1 Pu 3.24
Er3 0.0697 0.6007 0.2600  2 Tm 3.11, 1 Pu 3.24
Er4 0.6704 0.2600 0.3993  2 Tm 3.11, 1 Pu 3.24
Tm1 0.2500 0.5000 0.5000  4 Tm 3.10, 4 Er 3.11
Tm2 0.5487 0.3254 0.8990  5 Tm 3.10-3.30
Tm3 0.1258 0.1010 0.3254  5 Tm 3.10-3.30
Tm4 0.5522 0.8990 0.6746  5 Tm 3.10-3.30
Tm5 0.7732 0.6746 0.1010  5 Tm 3.10-3.30
Tm6 0.4513 0.6746 0.1010  5 Tm 3.10-3.30
Tm7 0.7500 0.5000 0.5000  4 Tm 3.10, 4 Er 3.11
Tm8 0.2268 0.3254 0.8990  5 Tm 3.10-3.30
Tm9 0.4478 0.1010 0.3254  5 Tm 3.10-3.30
Tm10 0.8742 0.8990 0.6746  5 Tm 3.10-3.30
Pu1 0.0000 0.0000 0.0000  4 Er 3.24

* VASP energy: -71.24 eV/f.u.
* crystal system: tetragonal
* DOS(E_F): 2.028 states/eV per atom

=====

Below is Er8Tm3Pu2 after structural relaxation, with properties calculated at the PBE level.

abc: 5.5950 7.2601 10.6821
angles: 109.87 90.01 90.00
Last column: nearest neighbours and their distance in Å.
Atoms (fractional coordinates):
Er1 0.9996 0.3244 0.6487  2 Pu 3.24, 4 Er 3.47
Er2 0.0004 0.6756 0.3512  2 Pu 3.24, 4 Er 3.47
Er3 0.9998 0.8580 0.7159  2 Pu 3.45-3.46, 2 Tm 3.46, 7 Er 3.51-3.69
Er4 0.0002 0.1420 0.2841  2 Pu 3.45-3.46, 2 Tm 3.46, 7 Er 3.51-3.69
Er5 0.5003 0.8330 0.2245  1 Tm 3.03, 1 Er 3.20, 2 Pu 3.32
Er6 0.5003 0.3915 0.2245  1 Tm 3.03, 1 Er 3.20, 2 Pu 3.32
Er7 0.4997 0.6084 0.7755  1 Tm 3.03, 1 Er 3.20, 2 Pu 3.32
Er8 0.4997 0.1670 0.7755  1 Tm 3.03, 1 Er 3.20, 2 Pu 3.32
Tm1 0.5000 0.0000 0.0000  4 Er 3.03
Tm2 0.0000 0.2699 0.0000  3 Tm 3.34-3.42, 6 Er 3.46-3.60
Tm3 0.0000 0.7301 0.0000  3 Tm 3.34-3.42, 6 Er 3.46-3.60
Pu1 0.5003 0.7569 0.5138  8 Er 3.24-3.46
Pu2 0.4997 0.2431 0.4863  8 Er 3.24-3.46

* VASP energy: -74.80 eV/f.u.
* crystal system: orthorhombic
* DOS(E_F): 2.286 states/eV per atom

=====

Number 1: total magnetic moment 1.40 μB/atom, formation energy from the elements -0.16 eV per atom. Number 2: total magnetic moment 0.71 μB/atom, formation energy from the elements -0.12 eV per atom. Number 3: total magnetic moment 1.57 μB/atom, formation energy from the elements -0.13 eV per atom. Number 4: total magnetic moment 1.72 μB/atom, formation energy from the elements 0.06 eV per atom. Number 5: total magnetic moment 0.42 μB/atom, formation energy from the elements 0.40 eV per atom. Number 6: total magnetic moment 1.13 μB/atom, formation energy from the elements 0.29 eV per atom.